Ta2CrSi | GGA-PBE | relaxed

Cell and atoms, written as CIF:
```
data_Ta2CrSi
_chemical_formula_sum 'Ta6 Cr3 Si3'
_cell_length_a 2.8960
_cell_length_b 2.8960
_cell_length_c 26.6842
_cell_angle_alpha 90.00
_cell_angle_beta 90.00
_cell_angle_gamma 120.00
_symmetry_space_group_name_H-M 'R -3 m'
_symmetry_Int_Tables_number 166
_symmetry_space_group_name_Hall '-R 3 2"'
loop_
_atom_site_label
_atom_site_fract_x
_atom_site_fract_y
_atom_site_fract_z
_atom_site_occupancy
Ta1 0.0000 0.0000 0.2488 1
Cr1 0.0000 0.0000 0.0000 1
Si1 0.0000 0.0000 0.5000 1
```

Properties
- formation energy (no corrections) (eV per atom) = 0.225
- magnetization (Bohr magnetons per cell) = 7.7